# TiOsC3

A relaxed structure of TiOsC3 (GGA-PBE, Alexandria via LeMat-Bulk).

Results
Fermi-level density of states ... 1.508 states/eV per atom
DFT total energy ... -7.739 eV/atom
SG ... No. 221

Cell: 3.934 3.934 3.934 Å, 90.00 90.00 90.00°
Fractional coordinates of all 5 atoms:
1 Ti 0.000 0.000 0.000
2 Os 0.500 0.500 0.500
3 C 0.000 0.500 0.500
4 C 0.500 0.000 0.500
5 C 0.500 0.500 0.000

=====

# TiOs3C

A relaxed structure of TiOs3C (GGA-PBE, Alexandria via LeMat-Bulk).

Results
Fermi-level density of states ... 1.184 states/eV per atom
DFT total energy ... -6.946 eV/atom
SG ... No. 221

Cell: 4.537 4.537 4.537 Å, 90.00 90.00 90.00°
Fractional coordinates of all 5 atoms:
1 Ti 0.000 0.000 0.000
2 Os 0.000 0.000 0.500
3 Os 0.000 0.500 0.000
4 Os 0.500 0.000 0.000
5 C 0.500 0.500 0.500

=====

# Ti2OsC

A relaxed structure of Ti2OsC (GGA-PBE, Alexandria via LeMat-Bulk).

Results
Fermi-level density of states ... 0.802 states/eV per atom
DFT total energy ... -9.125 eV/atom
SG ... No. 122

Cell: 5.655 5.655 5.655 Å, 97.66 97.66 137.18°
Fractional coordinates of all 8 atoms:
1 Ti 0.375 0.244 0.369
2 Ti 0.756 0.125 0.131
3 Ti 0.875 0.006 0.631
4 Ti 0.994 0.625 0.869
5 Os 0.250 0.750 0.500
6 Os 0.500 0.500 0.000
7 C 0.000 0.000 0.000
8 C 0.750 0.250 0.500

=====

# TiOs3C

A relaxed structure of TiOs3C (GGA-PBE, Alexandria via LeMat-Bulk).

Results
Fermi-level density of states ... 0.293 states/eV per atom
DFT total energy ... -10.148 eV/atom
SG ... No. 221

Cell: 4.057 4.057 4.057 Å, 90.00 90.00 90.00°
Fractional coordinates of all 5 atoms:
1 Ti 0.000 0.000 0.000
2 Os 0.000 0.500 0.500
3 Os 0.500 0.000 0.500
4 Os 0.500 0.500 0.000
5 C 0.500 0.500 0.500

=====

# TiOsC

A relaxed structure of TiOsC (GGA-PBE, Alexandria via LeMat-Bulk).

Results
Fermi-level density of states ... 0.418 states/eV per atom
DFT total energy ... -9.529 eV/atom
SG ... No. 146

Cell: 5.628 5.628 5.628 Å, 57.59 57.59 57.59°
Fractional coordinates of all 9 atoms:
1 Ti 0.003 0.350 0.647
2 Ti 0.350 0.647 0.003
3 Ti 0.647 0.003 0.350
4 Os 0.181 0.753 0.597
5 Os 0.597 0.181 0.753
6 Os 0.753 0.597 0.181
7 C 0.417 0.417 0.417
8 C 0.751 0.751 0.751
9 C 0.938 0.938 0.938

=====

# Ti8OsC2

A relaxed structure of Ti8OsC2 (GGA-PBE, Alexandria via LeMat-Bulk).

Results
Fermi-level density of states ... 1.050 states/eV per atom
DFT total energy ... -8.728 eV/atom
SG ... No. 12

Cell: 6.235 6.235 4.399 Å, 96.82 96.82 112.38°
Fractional coordinates of all 11 atoms:
1 Ti 0.074 0.333 0.568
2 Ti 0.247 0.753 0.000
3 Ti 0.333 0.074 0.568
4 Ti 0.396 0.396 0.196
5 Ti 0.604 0.604 0.804
6 Ti 0.667 0.926 0.432
7 Ti 0.753 0.247 0.000
8 Ti 0.926 0.667 0.432
9 Os 0.000 0.000 0.000
10 C 0.307 0.693 0.500
11 C 0.693 0.307 0.500

=====

# TiTlOsC2

A relaxed structure of TiTlOsC2 (GGA-PBE, Alexandria via LeMat-Bulk).

Results
Fermi-level density of states ... 1.080 states/eV per atom
DFT total energy ... -5.720 eV/atom
SG ... No. 123

Cell: 3.978 3.978 5.659 Å, 90.00 90.00 90.00°
Fractional coordinates of all 5 atoms:
1 Ti 0.000 0.000 0.000
2 Tl 0.000 0.000 0.500
3 Os 0.500 0.500 0.500
4 C 0.000 0.500 0.000
5 C 0.500 0.000 0.000

=====

# Tl3OsC

A relaxed structure of Tl3OsC (GGA-PBE, Alexandria via LeMat-Bulk).

Results
Fermi-level density of states ... 0.694 states/eV per atom
DFT total energy ... -3.658 eV/atom
SG ... No. 221

Cell: 4.726 4.726 4.726 Å, 90.00 90.00 90.00°
Fractional coordinates of all 5 atoms:
1 Tl 0.000 0.000 0.500
2 Tl 0.000 0.500 0.000
3 Tl 0.500 0.000 0.000
4 Os 0.500 0.500 0.500
5 C 0.000 0.000 0.000

=====

# Tl2OsC

A relaxed structure of Tl2OsC (GGA-PBE, Alexandria via LeMat-Bulk).

Results
Fermi-level density of states ... 0.632 states/eV per atom
DFT total energy ... -4.224 eV/atom
SG ... No. 225

Cell: 4.686 4.686 4.686 Å, 60.00 60.00 60.00°
Fractional coordinates of all 4 atoms:
1 Tl 0.250 0.250 0.250
2 Tl 0.750 0.750 0.750
3 Os 0.000 0.000 0.000
4 C 0.500 0.500 0.500

=====

# TlOs3C

A relaxed structure of TlOs3C (GGA-PBE, Alexandria via LeMat-Bulk).

Results
Fermi-level density of states ... 1.150 states/eV per atom
DFT total energy ... -8.206 eV/atom
SG ... No. 221

Cell: 4.161 4.161 4.161 Å, 90.00 90.00 90.00°
Fractional coordinates of all 5 atoms:
1 Tl 0.000 0.000 0.000
2 Os 0.000 0.500 0.500
3 Os 0.500 0.000 0.500
4 Os 0.500 0.500 0.000
5 C 0.500 0.500 0.500

=====

# Tl3OsC

A relaxed structure of Tl3OsC (GGA-PBE, Alexandria via LeMat-Bulk).

Results
Fermi-level density of states ... 0.441 states/eV per atom
DFT total energy ... -3.843 eV/atom
SG ... No. 221

Cell: 5.292 5.292 5.292 Å, 90.00 90.00 90.00°
Fractional coordinates of all 5 atoms:
1 Tl 0.000 0.000 0.500
2 Tl 0.000 0.500 0.000
3 Tl 0.500 0.000 0.000
4 Os 0.000 0.000 0.000
5 C 0.500 0.500 0.500

=====

# TlOs3C

A relaxed structure of TlOs3C (GGA-PBE, Alexandria via LeMat-Bulk).

Results
Fermi-level density of states ... 2.146 states/eV per atom
DFT total energy ... -4.473 eV/atom
SG ... No. 221

Cell: 5.037 5.037 5.037 Å, 90.00 90.00 90.00°
Fractional coordinates of all 5 atoms:
1 Tl 0.000 0.000 0.000
2 Os 0.000 0.000 0.500
3 Os 0.000 0.500 0.000
4 Os 0.500 0.000 0.000
5 C 0.500 0.500 0.500

=====

# Tm2TlOsC

A relaxed structure of Tm2TlOsC (GGA-PBE, Alexandria via LeMat-Bulk).

Results
Fermi-level density of states ... 0.493 states/eV per atom
DFT total energy ... -6.707 eV/atom
SG ... No. 123

Cell: 4.959 4.959 3.947 Å, 90.00 90.00 90.00°
Fractional coordinates of all 5 atoms:
1 Tm 0.000 0.500 0.000
2 Tm 0.500 0.000 0.000
3 Tl 0.000 0.000 0.500
4 Os 0.500 0.500 0.500
5 C 0.500 0.500 0.000

=====

# Y2TlOsC

A relaxed structure of Y2TlOsC (GGA-PBE, Alexandria via LeMat-Bulk).

Results
Fermi-level density of states ... 0.525 states/eV per atom
DFT total energy ... -7.501 eV/atom
SG ... No. 123

Cell: 5.066 5.066 3.949 Å, 90.00 90.00 90.00°
Fractional coordinates of all 5 atoms:
1 Y 0.000 0.500 0.000
2 Y 0.500 0.000 0.000
3 Tl 0.000 0.000 0.500
4 Os 0.500 0.500 0.500
5 C 0.500 0.500 0.000

=====

# Tm2OsC

A relaxed structure of Tm2OsC (GGA-PBE, Alexandria via LeMat-Bulk).

Results
Fermi-level density of states ... 0.651 states/eV per atom
DFT total energy ... -6.867 eV/atom
SG ... No. 166

Cell: 8.290 8.290 8.290 Å, 23.14 23.14 23.14°
Fractional coordinates of all 4 atoms:
1 Tm 0.110 0.110 0.110
2 Tm 0.890 0.890 0.890
3 Os 0.000 0.000 0.000
4 C 0.500 0.500 0.500

=====

# Tm2Os2C3

A relaxed structure of Tm2Os2C3 (GGA-PBE, Alexandria via LeMat-Bulk).

Results
Fermi-level density of states ... 0.439 states/eV per atom
DFT total energy ... -8.692 eV/atom
SG ... No. 12

Cell: 5.870 5.870 5.565 Å, 111.84 111.84 33.48°
Fractional coordinates of all 7 atoms:
1 Tm 0.110 0.110 0.324
2 Tm 0.890 0.890 0.676
3 Os 0.344 0.344 0.176
4 Os 0.656 0.656 0.824
5 C 0.251 0.251 0.768
6 C 0.500 0.500 0.500
7 C 0.749 0.749 0.232

=====

# TmOsC

A relaxed structure of TmOsC (GGA-PBE, Alexandria via LeMat-Bulk).

Results
Fermi-level density of states ... 0.373 states/eV per atom
DFT total energy ... -8.385 eV/atom
SG ... No. 156

Cell: 3.350 3.350 4.729 Å, 90.00 90.00 120.00°
Fractional coordinates of all 3 atoms:
1 Tm 0.000 0.000 0.000
2 Os 0.667 0.333 0.523
3 C 0.333 0.667 0.667

=====

# TmOsC2

A relaxed structure of TmOsC2 (GGA-PBE, Alexandria via LeMat-Bulk).

Results
Fermi-level density of states ... 0.254 states/eV per atom
DFT total energy ... -8.366 eV/atom
SG ... No. 166

Cell: 5.508 5.508 5.508 Å, 34.60 34.60 34.60°
Fractional coordinates of all 4 atoms:
1 Tm 0.000 0.000 0.000
2 Os 0.500 0.500 0.500
3 C 0.235 0.235 0.235
4 C 0.765 0.765 0.765

=====

# TmOsC

A relaxed structure of TmOsC (GGA-PBE, Alexandria via LeMat-Bulk).

Results
Fermi-level density of states ... 0.492 states/eV per atom
DFT total energy ... -7.957 eV/atom
SG ... No. 42

Cell: 5.406 5.404 2.881 Å, 74.59 74.49 30.92°
Fractional coordinates of all 3 atoms:
1 Tm 0.000 0.000 0.000
2 Os 0.726 0.726 0.274
3 C 0.315 0.315 0.685

=====

# YTm2OsC2

A relaxed structure of YTm2OsC2 (GGA-PBE, Alexandria via LeMat-Bulk).

Results
Fermi-level density of states ... 0.659 states/eV per atom
DFT total energy ... -7.790 eV/atom
SG ... No. 58

Cell: 5.544 10.910 3.664 Å, 90.00 90.00 90.00°
Fractional coordinates of all 12 atoms:
1 Y 0.000 0.000 0.000
2 Y 0.500 0.500 0.500
3 Tm 0.043 0.294 0.500
4 Tm 0.457 0.794 0.000
5 Tm 0.543 0.206 0.000
6 Tm 0.957 0.706 0.500
7 Os 0.000 0.500 0.000
8 Os 0.500 0.000 0.500
9 C 0.231 0.877 0.500
10 C 0.269 0.377 0.000
11 C 0.731 0.623 0.000
12 C 0.769 0.123 0.500